## ZrSn2Mo4 (PBE-GGA)

Data for an optimized crystal structure of ZrSn2Mo4.

The structure in CIF format:
```
data_ZrSn2Mo4
_chemical_formula_sum 'Zr2 Sn4 Mo8'
_cell_length_a 4.744
_cell_length_b 4.744
_cell_length_c 14.265
_cell_angle_alpha 90.00
_cell_angle_beta 90.00
_cell_angle_gamma 90.00
_space_group_name_H-M_alt 'I 4/m m m'
_space_group_IT_number 139
_space_group_name_Hall '-I 4 2'
loop_
_atom_site_label
_atom_site_type_symbol
_atom_site_fract_x
_atom_site_fract_y
_atom_site_fract_z
Zr1 Zr 0.000 0.000 0.000
Sn1 Sn 0.000 0.000 0.370
Mo1 Mo 0.000 0.000 0.179
Mo2 Mo 0.000 0.500 0.000
```

## Properties
Magnetization: 5.92 μB/cell
Calculated formation energy: 1.51 eV/atom
Crystal system: tetragonal


## Nd2AsC (PBE-GGA)

Data for an optimized crystal structure of Nd2AsC.

The structure in CIF format:
```
data_Nd2AsC
_chemical_formula_sum 'Nd6 As3 C3'
_cell_length_a 3.6774
_cell_length_b 3.6774
_cell_length_c 26.4973
_cell_angle_alpha 90.00
_cell_angle_beta 90.00
_cell_angle_gamma 120.00
_space_group_name_H-M_alt 'R -3 m'
_space_group_IT_number 166
_space_group_name_Hall '-R 3 2"'
loop_
_atom_site_label
_atom_site_type_symbol
_atom_site_fract_x
_atom_site_fract_y
_atom_site_fract_z
Nd1 Nd 0.0000 0.0000 0.1129
As1 As 0.0000 0.0000 0.0000
C1 C 0.0000 0.0000 0.5000
```

## Properties
Magnetization: 0.00 μB/cell
Calculated formation energy: -0.07 eV/atom
Crystal system: trigonal


## PAu3 (PBE-GGA)

Data for an optimized crystal structure of PAu3.

The structure in CIF format:
```
data_PAu3
_chemical_formula_sum 'P2 Au6'
_cell_length_a 5.8966
_cell_length_b 5.8966
_cell_length_c 4.6833
_cell_angle_alpha 90.00
_cell_angle_beta 90.00
_cell_angle_gamma 120.00
_space_group_name_H-M_alt 'P 63/m m c'
_space_group_IT_number 194
_space_group_name_Hall '-P 6c 2c'
loop_
_atom_site_label
_atom_site_type_symbol
_atom_site_fract_x
_atom_site_fract_y
_atom_site_fract_z
P1 P 0.3333 0.6667 0.2500
Au1 Au 0.1687 0.3375 0.7500
```

## Properties
Relative energy among the computed polymorphs: 27.3 kJ/mol of atoms
Magnetization: 0.00 μB/cell
Calculated formation energy: 0.31 eV/atom
Crystal system: hexagonal


## ScZn2Ni (PBE-GGA)

Data for an optimized crystal structure of ScZn2Ni.

The structure in CIF format:
```
data_ScZn2Ni
_chemical_formula_sum 'Sc1 Zn2 Ni1'
_cell_length_a 2.903
_cell_length_b 4.386
_cell_length_c 5.004
_cell_angle_alpha 90.00
_cell_angle_beta 102.52
_cell_angle_gamma 90.00
_space_group_name_H-M_alt 'P 1 2/m 1'
_space_group_IT_number 10
loop_
_space_group_symop_operation_xyz
'x,y,z'
'-x,-y,-z'
'-x,y,-z'
'x,-y,z'
loop_
_atom_site_label
_atom_site_type_symbol
_atom_site_fract_x
_atom_site_fract_y
_atom_site_fract_z
Sc1 Sc 0.000 0.000 0.000
Zn1 Zn 0.367 0.500 0.726
Ni1 Ni 0.500 0.000 0.500
```

## Properties
Magnetization: 0.00 μB/cell
Calculated formation energy: -0.22 eV/atom
Crystal system: monoclinic